# 1
An optimized crystal structure of PrSmY4. Source: the Alexandria database, functional PBE-GGA.

Computed properties:
Fermi-level density of states: 1.418 states/eV per atom
E above lowest polymorph: 0.000 eV per atom
Energy of formation from the pure elements: 0.01 eV/atom

Unit cell a=6.2683 b=6.2683 c=12.2251 alpha=104.81 beta=104.81 gamma=59.98
Closest atoms and distances in Å follow each position.
Sites, in units of the cell vectors:
Pr (0.0817, 0.9183, 0.7500)  10 Y 3.59-3.63, 2 Sm 3.60
Pr (0.9183, 0.0817, 0.2500)  10 Y 3.59-3.63, 2 Sm 3.60
Sm (0.0000, 0.5000, 0.5000)  10 Y 3.59-3.62, 2 Pr 3.60
Sm (0.5000, 0.0000, 0.0000)  10 Y 3.59-3.62, 2 Pr 3.60
Y (0.1676, 0.6650, 0.0000)  7 Y 3.58-3.64, 2 Pr 3.59-3.60, 3 Sm 3.61-3.62
Y (0.2504, 0.4165, 0.2500)  7 Y 3.58-3.62, 2 Sm 3.59, 3 Pr 3.61-3.63
Y (0.3350, 0.8324, 0.5000)  7 Y 3.58-3.64, 2 Pr 3.59-3.60, 3 Sm 3.61-3.62
Y (0.4165, 0.2504, 0.7500)  7 Y 3.58-3.62, 2 Sm 3.59, 3 Pr 3.61-3.63
Y (0.5835, 0.7496, 0.2500)  7 Y 3.58-3.62, 2 Sm 3.59, 3 Pr 3.61-3.63
Y (0.6650, 0.1676, 0.5000)  7 Y 3.58-3.64, 2 Pr 3.59-3.60, 3 Sm 3.61-3.62
Y (0.7496, 0.5835, 0.7500)  7 Y 3.58-3.62, 2 Sm 3.59, 3 Pr 3.61-3.63
Y (0.8324, 0.3350, 0.0000)  7 Y 3.58-3.64, 2 Pr 3.59-3.60, 3 Sm 3.61-3.62


# 2
An optimized crystal structure of Pm2Sc2Sn2O. Source: the Alexandria database, functional PBE-GGA.

Computed properties:
Fermi-level density of states: 1.138 states/eV per atom
Formation energy from raw total energies: -954 kJ/mol of formula units

Unit cell a=8.8164 b=8.8164 c=8.8164 alpha=150.82 beta=150.82 gamma=41.74
Closest atoms and distances in Å follow each position.
Sites, in units of the cell vectors:
Pm (0.1697, 0.1697, 0.0000)  1 O 2.80
Pm (0.8303, 0.8303, 0.0000)  1 O 2.80
Sc (0.0000, 0.5000, 0.5000)  2 O 2.22
Sc (0.5000, 0.0000, 0.5000)  2 O 2.22
Sn (0.3685, 0.3685, 0.0000)  4 Sc 3.10, 5 Pm 3.20-3.28
Sn (0.6315, 0.6315, 0.0000)  4 Sc 3.10, 5 Pm 3.20-3.28
O (0.0000, 0.0000, 0.0000)  4 Sc 2.22